The following is a GGA-PBE calculation of ScTaTc2 after structural relaxation, from Alexandria.

Structure (POSCAR):
```
ScTaTc2
1.0
3.205 0.000 0.000
0.000 4.293 0.000
0.000 0.000 4.824
Sc Ta Tc
1 1 2
direct
0.000 0.000 0.000
0.500 0.000 0.500
0.000 0.500 0.500
0.500 0.500 0.000
```

Total energy in eV per atom: -9.783

The following is a GGA-PBE calculation of ScTaTc2 after structural relaxation, from Alexandria.

Structure (POSCAR):
```
ScTaTc2
1.0
2.900 0.000 0.000
-1.450 2.511 0.000
0.000 0.000 28.157
Sc Ta Tc
3 3 6
direct
0.000 0.000 0.000
0.333 0.667 0.667
0.667 0.333 0.333
0.000 0.000 0.242
0.333 0.667 0.909
0.667 0.333 0.575
0.000 0.000 0.490
0.000 0.000 0.751
0.333 0.667 0.157
0.333 0.667 0.418
0.667 0.333 0.084
0.667 0.333 0.824
```

Total energy in eV per atom: -9.570

The following is a GGA-PBE calculation of ScTa2Tc after structural relaxation, from Alexandria.

Structure (POSCAR):
```
ScTa2Tc
1.0
3.916 0.000 0.000
0.000 3.916 0.000
0.000 0.000 9.354
Sc Ta Tc
2 4 2
direct
0.000 0.000 0.000
0.500 0.500 0.500
0.000 0.000 0.500
0.000 0.500 0.750
0.500 0.000 0.250
0.500 0.500 0.000
0.000 0.500 0.250
0.500 0.000 0.750
```

Total energy in eV per atom: -9.917

The following is a GGA-PBE calculation of ScTa3Tc after structural relaxation, from Alexandria.

Structure (POSCAR):
```
ScTa3Tc
1.0
4.831 0.000 0.000
0.000 4.831 0.000
0.000 0.000 4.831
Sc Ta Tc
1 3 1
direct
0.000 0.000 0.000
0.000 0.500 0.500
0.500 0.000 0.500
0.500 0.500 0.000
0.500 0.500 0.500
```

Total energy in eV per atom: -9.545

Question: Which formula does entry 1 have?
Answer: ScTaTc2

Question: The highest total energy belongs to which entry?
Answer: ScTa3Tc

Repeat the fourth record exactly.
The following is a GGA-PBE calculation of ScTa3Tc after structural relaxation, from Alexandria.

Structure (POSCAR):
```
ScTa3Tc
1.0
4.831 0.000 0.000
0.000 4.831 0.000
0.000 0.000 4.831
Sc Ta Tc
1 3 1
direct
0.000 0.000 0.000
0.000 0.500 0.500
0.500 0.000 0.500
0.500 0.500 0.000
0.500 0.500 0.500
```

Total energy in eV per atom: -9.545